# 1
TlRhSe2 | PBE-GGA | relaxed

Geometry as extended XYZ:
```
4
Lattice="4.893 0.000 0.000 0.000 3.739 0.000 -2.410 0.000 5.117" Properties=species:S:1:pos:R:3 pbc="T T T"
Tl 0.000 0.000 0.000
Rh 1.241 0.000 2.558
Se -0.201 1.870 3.324
Se 2.684 1.870 1.793
```



# 2
TlRhSe2 | PBE-GGA | relaxed

Geometry as extended XYZ:
```
32
Lattice="3.825 -6.134 0.000 3.825 6.134 0.000 -2.867 0.000 16.149" Properties=species:S:1:pos:R:3 pbc="T T T"
Tl 1.695 4.084 9.490
Tl -0.399 0.996 14.685
Tl 1.655 4.084 14.734
Tl 1.034 -0.996 6.610
Tl 3.750 0.996 9.539
Tl 3.129 -4.084 1.416
Tl 5.183 -0.996 1.465
Tl 3.088 -4.084 6.659
Rh -0.384 2.315 10.914
Rh 1.050 -2.315 2.840
Rh 3.169 0.720 2.551
Rh 3.048 0.720 5.523
Rh 1.736 -0.720 10.626
Rh 1.614 -0.720 13.598
Rh 3.734 2.315 13.310
Rh 5.167 -2.315 5.235
Se 3.108 4.987 4.037
Se 1.329 1.676 4.005
Se -0.059 0.382 9.304
Se 3.316 2.798 1.236
Se 1.374 -0.382 1.229
Se 2.901 2.798 6.838
Se 1.675 1.363 12.112
Se -0.104 -1.676 12.079
Se 4.888 1.676 4.070
Se 3.108 -1.363 4.037
Se 1.883 -2.798 9.311
Se 3.409 0.382 14.920
Se 1.467 -2.798 14.913
Se 4.843 -0.382 6.845
Se 3.454 -1.676 12.145
Se 1.675 -4.987 12.112
```



# 3
TlRhSe2 | PBE-GGA | relaxed

Geometry as extended XYZ:
```
8
Lattice="6.646 0.000 0.000 0.000 3.735 0.000 -2.707 0.000 7.814" Properties=species:S:1:pos:R:3 pbc="T T T"
Tl 0.132 0.934 2.453
Tl 3.808 2.801 5.361
Rh -0.128 0.934 6.429
Rh 4.068 2.801 1.386
Se 1.927 2.801 0.135
Se 0.619 2.801 4.959
Se 3.321 0.934 2.856
Se 2.013 0.934 7.680
```



# 4
TlRhSe2 | PBE-GGA | relaxed

Geometry as extended XYZ:
```
4
Lattice="-2.776 2.776 2.812 2.776 -2.776 2.812 2.776 2.776 -2.812" Properties=species:S:1:pos:R:3 pbc="T T T"
Tl 0.000 0.000 0.000
Rh 0.000 0.000 2.812
Se 2.776 0.000 0.000
Se 0.000 2.776 0.000
```



# 5
TlRhSe2 | PBE-GGA | relaxed

Geometry as extended XYZ:
```
16
Lattice="6.130 0.000 0.000 0.000 10.170 0.000 0.000 0.000 6.047" Properties=species:S:1:pos:R:3 pbc="T T T"
Tl 1.338 1.631 0.000
Tl 1.727 6.716 3.024
Tl 4.403 3.455 0.000
Tl 4.792 8.540 3.024
Rh 0.696 3.947 2.110
Rh 2.369 9.032 5.134
Rh 3.761 1.138 2.110
Rh 5.433 6.224 5.134
Se 0.212 8.319 0.057
Se 1.281 5.127 0.046
Se 1.784 0.042 3.069
Se 2.853 3.233 3.081
Se 3.276 6.937 0.057
Se 4.346 10.129 0.046
Se 4.849 5.043 3.069
Se 5.918 1.852 3.081
```



# 6
Tl2RhSe2 | PBE-GGA | relaxed

Geometry as extended XYZ:
```
10
Lattice="7.574 0.000 0.000 0.000 7.574 0.000 0.000 0.000 4.104" Properties=species:S:1:pos:R:3 pbc="T T T"
Tl 1.162 2.625 0.000
Tl 2.625 6.412 0.000
Tl 4.949 1.162 0.000
Tl 6.412 4.949 0.000
Rh 0.000 0.000 0.000
Rh 3.787 3.787 0.000
Se 1.233 5.020 2.052
Se 2.554 1.233 2.052
Se 5.020 6.341 2.052
Se 6.341 2.554 2.052
```



# 7
Tl2RhSe2 | PBE-GGA | relaxed

Geometry as extended XYZ:
```
5
Lattice="-1.835 1.835 9.174 1.835 -1.835 9.174 1.835 1.835 -9.174" Properties=species:S:1:pos:R:3 pbc="T T T"
Tl 0.000 0.000 1.553
Tl 0.000 0.000 16.795
Rh 0.000 0.000 9.174
Se 1.835 0.000 4.587
Se 0.000 1.835 4.587
```



# 8
TlRhSe2 | PBE-GGA | relaxed

Geometry as extended XYZ:
```
4
Lattice="3.962 0.000 0.000 0.000 3.962 0.000 0.000 0.000 5.533" Properties=species:S:1:pos:R:3 pbc="T T T"
Tl 0.000 0.000 0.000
Rh 1.981 1.981 2.767
Se 0.000 0.000 2.767
Se 1.981 1.981 0.000
```



# 9
TlRh3Se | PBE-GGA | relaxed

Geometry as extended XYZ:
```
5
Lattice="4.612 0.000 0.000 0.000 4.612 0.000 0.000 0.000 4.612" Properties=species:S:1:pos:R:3 pbc="T T T"
Tl 0.000 0.000 0.000
Rh 0.000 2.306 2.306
Rh 2.306 0.000 2.306
Rh 2.306 2.306 0.000
Se 2.306 2.306 2.306
```



# 10
Tl2RhSe | PBE-GGA | relaxed

Geometry as extended XYZ:
```
4
Lattice="-1.673 2.234 6.740 1.673 -2.234 6.740 1.673 2.234 -6.740" Properties=species:S:1:pos:R:3 pbc="T T T"
Tl 0.000 0.000 0.000
Tl 0.000 2.234 2.588
Rh 1.673 0.000 3.303
Se 0.000 0.000 5.067
```



# 11
Tl2RhSe | PBE-GGA | relaxed

Geometry as extended XYZ:
```
4
Lattice="4.905 0.000 0.000 0.000 4.905 0.000 0.000 0.000 3.647" Properties=species:S:1:pos:R:3 pbc="T T T"
Tl 0.000 2.452 0.000
Tl 2.452 0.000 0.000
Rh 0.000 0.000 1.823
Se 2.452 2.452 1.823
```



# 12
Tl2Rh3Se6 | PBE-GGA | relaxed

Geometry as extended XYZ:
```
11
Lattice="3.283 -5.708 0.000 3.283 5.708 0.000 -2.223 0.000 7.158" Properties=species:S:1:pos:R:3 pbc="T T T"
Tl 3.283 3.828 0.000
Tl 3.283 -3.828 0.000
Rh -1.112 0.000 3.579
Rh 2.171 1.940 3.579
Rh 2.171 -1.940 3.579
Se -0.019 1.903 4.828
Se 1.078 0.000 2.322
Se -0.019 -1.903 4.828
Se 4.362 1.903 2.329
Se 3.264 0.000 4.836
Se 4.362 -1.903 2.329
```



# 13
Tl2RhSe | PBE-GGA | relaxed

Geometry as extended XYZ:
```
4
Lattice="5.162 -1.677 0.000 5.162 1.677 0.000 -2.498 0.000 5.639" Properties=species:S:1:pos:R:3 pbc="T T T"
Tl 0.000 0.000 0.000
Tl 0.197 0.000 3.532
Rh 2.998 0.000 3.175
Se 7.669 0.000 1.484
```



# 14
TlRhSe2 | PBE-GGA | relaxed

Geometry as extended XYZ:
```
32
Lattice="5.025 -4.807 0.000 5.025 4.807 0.000 -0.996 0.000 16.186" Properties=species:S:1:pos:R:3 pbc="T T T"
Tl 4.127 3.517 9.471
Tl 4.430 3.517 14.808
Tl 2.520 0.365 14.942
Tl 3.018 -0.365 6.849
Tl 6.036 0.365 9.336
Tl 6.534 -0.365 1.243
Tl 4.625 -3.517 1.378
Tl 4.927 -3.517 6.715
Rh 3.714 2.339 5.321
Rh 3.811 0.406 2.680
Rh 5.838 2.339 2.772
Rh 3.313 -0.406 10.773
Rh 5.741 0.406 5.413
Rh 3.216 -2.339 13.414
Rh 5.243 -0.406 13.506
Rh 5.340 -2.339 10.865
Se 4.776 3.992 4.046
Se 2.062 1.352 3.932
Se 1.939 1.168 9.465
Se 3.918 2.382 1.127
Se 5.634 2.382 6.966
Se 4.278 1.304 12.139
Se 1.564 -1.352 12.025
Se 2.437 -1.168 1.372
Se 6.618 1.168 14.814
Se 7.491 1.352 4.161
Se 4.776 -1.304 4.046
Se 3.420 -2.382 9.220
Se 5.136 -2.382 15.059
Se 7.116 -1.168 6.721
Se 6.993 -1.352 12.254
Se 4.278 -3.992 12.139
```



# 15
TlRhSe2 | PBE-GGA | relaxed

Geometry as extended XYZ:
```
4
Lattice="1.888 1.090 7.189 -1.888 1.090 7.189 0.000 -2.180 7.189" Properties=species:S:1:pos:R:3 pbc="T T T"
Tl 0.000 0.000 0.000
Rh 0.000 0.000 16.340
Se 0.000 0.000 5.524
Se 0.000 0.000 10.313
```



# 16
TlRhSe2 | PBE-GGA | relaxed

Geometry as extended XYZ:
```
4
Lattice="3.411 0.000 0.000 0.000 3.558 0.000 0.000 0.000 8.557" Properties=species:S:1:pos:R:3 pbc="T T T"
Tl 0.000 0.000 0.000
Rh 1.705 1.779 4.296
Se 0.000 0.000 3.656
Se 1.705 1.779 6.668
```



# 17
TlRhSe | PBE-GGA | relaxed

Geometry as extended XYZ:
```
6
Lattice="5.777 0.000 0.000 0.000 3.487 0.000 -0.896 0.000 7.004" Properties=species:S:1:pos:R:3 pbc="T T T"
Tl 0.078 0.872 1.314
Tl 4.803 2.615 5.690
Rh 0.834 2.615 3.539
Rh 4.047 0.872 3.465
Se 1.934 0.872 4.834
Se 2.947 2.615 2.170
```



# 18
TlRhSe2 | PBE-GGA | relaxed

Geometry as extended XYZ:
```
16
Lattice="6.395 0.000 0.000 0.000 3.704 0.000 0.000 0.000 17.030" Properties=species:S:1:pos:R:3 pbc="T T T"
Tl 0.070 0.926 2.543
Tl 3.127 2.778 11.058
Tl 3.268 0.926 5.972
Tl 6.325 2.778 14.487
Rh 0.690 2.778 7.072
Rh 2.508 0.926 15.586
Rh 3.888 2.778 1.443
Rh 5.705 0.926 9.958
Se 0.029 2.778 11.420
Se 1.390 0.926 8.599
Se 1.807 2.778 0.085
Se 3.168 0.926 2.905
Se 3.227 2.778 14.125
Se 4.588 0.926 16.945
Se 5.005 2.778 8.430
Se 6.366 0.926 5.610
```



# 19
TlRhSe2 | PBE-GGA | relaxed

Geometry as extended XYZ:
```
8
Lattice="0.000 5.548 3.476 4.878 0.000 3.476 4.878 5.548 0.000" Properties=species:S:1:pos:R:3 pbc="T T T"
Tl 0.000 0.000 0.000
Tl 2.439 2.774 1.738
Rh 4.878 5.548 4.050
Rh 7.317 8.322 5.788
Se 6.650 5.138 2.453
Se 4.211 3.184 4.191
Se 3.105 5.957 2.453
Se 5.544 7.912 4.191
```



# 20
TlRhSe | PBE-GGA | relaxed

Geometry as extended XYZ:
```
3
Lattice="0.000 3.203 3.203 3.203 0.000 3.203 3.203 3.203 0.000" Properties=species:S:1:pos:R:3 pbc="T T T"
Tl 0.000 0.000 0.000
Rh 4.804 4.804 4.804
Se 3.203 3.203 3.203
```



The calculation returns the following ΔE_f (raw) values, one per record and in order: -0.321, -0.287, -0.281, 0.176, -0.201, 0.401, 0.239, 0.046, 0.386, -0.089, 0.245, -0.401, -0.082, -0.240, -0.077, -0.081, -0.144, -0.265, -0.217, 0.030 eV/atom.
The calculation returns the following calculated volume values, one per record and in order: 94, 758, 194, 87, 377, 235, 124, 87, 98, 101, 88, 268, 98, 782, 89, 104, 141, 403, 188, 66 Å³ per cell.